No. 1
{"formula": "SrW2Br", "functional": "PBE", "state": "relaxed", "e_form_raw_ev_per_atom": 0.8221, "rho_g_cm3": 9.08, "sg": "Pmmm", "cell": [[3.2264, 0.0000, 0.0000], [0.0000, 4.4926, 0.0000], [0.0000, 0.0000, 6.7520]], "species": ["W", "W", "Sr", "Br"], "fractional_positions": [[0.0000, 0.0000, 0.0000], [0.5000, 0.5000, 0.0000], [0.0000, 0.5000, 0.5000], [0.5000, 0.0000, 0.5000]]}

---

No. 2
{"formula": "TiPdPt3", "functional": "PBE", "state": "relaxed", "delta_e_f_ev_per_atom": 1.19, "rho_g_cm3": 11.23, "sg": "Pm-3m", "cell": [[4.7819, 0.0000, 0.0000], [0.0000, 4.7819, 0.0000], [0.0000, 0.0000, 4.7819]], "species": ["Pt", "Pt", "Pt", "Pd", "Ti"], "fractional_positions": [[0.0000, 0.5000, 0.0000], [0.5000, 0.0000, 0.0000], [0.0000, 0.0000, 0.5000], [0.0000, 0.0000, 0.0000], [0.5000, 0.5000, 0.5000]]}

---

No. 3
{"formula": "Ir2PtSeN", "functional": "PBE", "state": "relaxed", "e_form_raw_ev_per_atom": 0.9006, "rho_g_cm3": 14.77, "sg": "P4/mmm", "cell": [[4.0073, 0.0000, 0.0000], [0.0000, 4.7078, 0.0000], [0.0000, 0.0000, 4.0073]], "species": ["Se", "N", "Ir", "Ir", "Pt"], "fractional_positions": [[0.5000, 0.5000, 0.5000], [0.0000, 0.0000, 0.0000], [0.0000, 0.0000, 0.5000], [0.5000, 0.0000, 0.0000], [0.0000, 0.5000, 0.0000]]}

---

No. 4
{"formula": "HfMn2HRh", "functional": "PBE", "state": "relaxed", "dft_energy_ry_per_atom": -0.5898, "rho_g_cm3": 10.49, "sg": "P4/mmm", "cell": [[3.9161, 0.0000, 0.0000], [0.0000, 3.9161, 0.0000], [0.0000, 0.0000, 4.0475]], "species": ["H", "Hf", "Rh", "Mn", "Mn"], "fractional_positions": [[0.0000, 0.0000, 0.0000], [0.5000, 0.5000, 0.5000], [0.0000, 0.0000, 0.5000], [0.0000, 0.5000, 0.0000], [0.5000, 0.0000, 0.0000]]}

---

No. 5
{"formula": "TmFe2Si2C", "functional": "PBE", "state": "relaxed", "e_form_raw_ev_per_atom": -0.4149, "rho_g_cm3": 7.58, "sg": "P4/mmm", "cell": [[-0.1117, 3.2882, 2.0231], [-3.2642, -1.1613, 1.7071], [2.7354, -2.2031, 3.7317]], "species": ["Fe", "Fe", "C", "Si", "Si", "Tm"], "fractional_positions": [[0.5000, 0.0000, 0.0000], [0.0000, 0.5000, 0.0000], [0.0000, 0.0000, 0.0000], [0.5000, 0.5000, 0.2723], [0.5000, 0.5000, 0.7277], [0.0000, 0.0000, 0.5000]]}

---

No. 6
{"formula": "ErSiSe4", "functional": "PBE", "state": "relaxed", "e_form_raw_ev_per_atom": -0.8261, "rho_g_cm3": 5.20, "sg": "C2/c", "cell": [[-2.5943, -0.9075, -5.8472], [-2.9306, -5.7406, 0.4475], [-7.2241, 3.1085, 2.0008]], "species": ["Se", "Se", "Se", "Se", "Se", "Se", "Se", "Se", "Er", "Er", "Si", "Si"], "fractional_positions": [[0.1952, 0.1836, 0.7684], [0.2833, 0.6697, 0.4885], [0.3303, 0.7167, 0.0115], [0.1836, 0.1952, 0.2684], [0.6697, 0.2833, 0.9885], [0.7167, 0.3303, 0.5115], [0.8048, 0.8164, 0.2316], [0.8164, 0.8048, 0.7316], [0.0000, 0.5000, 0.0000], [0.5000, 0.0000, 0.5000], [0.1501, 0.8499, 0.2500], [0.8499, 0.1501, 0.7500]]}

---

No. 7
{"formula": "Cs2UFe2S4", "functional": "PBE", "state": "relaxed", "e_form_raw_ev_per_atom": -0.9727, "rho_g_cm3": 5.62, "sg": "C2/m", "cell": [[-1.3075, -3.4936, -0.9677], [7.0967, -1.0081, 1.7242], [-4.2872, -0.3889, 7.1970]], "species": ["U", "Fe", "Fe", "S", "S", "S", "S", "Cs", "Cs"], "fractional_positions": [[0.0000, 0.0000, 0.0000], [0.3201, 0.6401, 0.0189], [0.6799, 0.3599, 0.9811], [0.1967, 0.3934, 0.1561], [0.8033, 0.6066, 0.8439], [0.4737, 0.9475, 0.2141], [0.5263, 0.0525, 0.7859], [0.8614, 0.7228, 0.4424], [0.1386, 0.2772, 0.5576]]}

---

No. 8
{"formula": "Li2ErZnGe2", "functional": "PBE", "state": "relaxed", "delta_e_f_ev_per_atom": -0.47, "rho_g_cm3": 5.77, "sg": "Pmc2_1", "cell": [[-0.4325, -3.6572, 1.9505], [6.3725, 0.7135, 2.7508], [-3.0521, 3.6298, 6.1289]], "species": ["Ge", "Ge", "Ge", "Ge", "Li", "Li", "Li", "Li", "Zn", "Zn", "Er", "Er"], "fractional_positions": [[0.5000, 0.2766, 0.3696], [0.0000, 0.2352, 0.8617], [0.0000, 0.7352, 0.1383], [0.5000, 0.7766, 0.6304], [0.0000, 0.3579, 0.1726], [0.5000, 0.0328, 0.0708], [0.0000, 0.8579, 0.8274], [0.5000, 0.5328, 0.9292], [0.5000, 0.6517, 0.3061], [0.5000, 0.1517, 0.6939], [0.0000, 0.9914, 0.4372], [0.0000, 0.4914, 0.5628]]}